(1)
VASP calculation (GGA-PBEsol) on a relaxed structure of CdSbTe2Br.

Computed properties:
VASP energy   -10.61 eV/f.u.
Energy relative to the elements, uncorrected   812.6 meV per atom
DOS at the Fermi energy   7.3 states/eV per cell

a b c (Å): 5.559 5.452 5.452
angles (deg): 90.00 90.00 90.00
Element x y z (fractional)
Cd  0.500  0.500  0.500
Te  0.000  0.500  0.000
Te  0.000  0.000  0.500
Br  0.000  0.000  0.000
Sb  0.500  0.000  0.000

(2)
VASP calculation (GGA-PBEsol) on a relaxed structure of ScCdBr.

Computed properties:
VASP energy   -11.44 eV/f.u.
Energy relative to the elements, uncorrected   -588.0 meV per atom
DOS at the Fermi energy   3.1 states/eV per cell

a b c (Å): 3.316 3.316 6.904
angles (deg): 103.89 103.89 90.00
Element x y z (fractional)
Sc  0.344  0.344  0.687
Br  0.963  0.963  0.925
Cd  0.694  0.694  0.388